Compound: PuMgNiOs
Source: the Alexandria database
Functional: PBE
Structure: relaxed

The value obtained for the mass density is 12.60 g cm⁻³. The final energy is -8.218 eV per atom.

Unit cell a=4.585 b=4.585 c=4.585 alpha=60.00 beta=60.00 gamma=60.00
Fractional positions:
Pu: 0.000 0.000 0.000
Mg: 0.500 0.500 0.500
Ni: 0.750 0.750 0.750
Os: 0.250 0.250 0.250

---

Compound: RbMgNi2Os
Source: the Alexandria database
Functional: PBE
Structure: relaxed

The value obtained for the mass density is 6.23 g cm⁻³. The final energy is -3.457 eV per atom.

Unit cell a=4.783 b=4.783 c=4.866 alpha=90.00 beta=90.00 gamma=90.00
Fractional positions:
Rb: 0.000 0.000 0.000
Mg: 0.500 0.500 0.500
Ni: 0.000 0.500 0.500
Ni: 0.500 0.000 0.500
Os: 0.500 0.500 0.000